(1)
Density functional theory data (meta-GGA SCAN) for a PBEsol-optimized structure of BeGa2Hg. Values from VASP.

```
&SYSTEM
  ibrav = 0, nat = 4, ntyp = 3
/
ATOMIC_SPECIES
Be 9.01 Be.upf
Ga 69.72 Ga.upf
Hg 200.59 Hg.upf
ATOMIC_POSITIONS angstrom
Be 0.000 0.000 0.000
Ga 1.634 1.634 1.634
Ga 4.901 4.901 4.901
Hg 3.267 3.267 3.267
CELL_PARAMETERS angstrom
0.000 3.267 3.267
3.267 0.000 3.267
3.267 3.267 0.000
```

Formation energy from the elements ... 521 meV per atom
SG ... Fm-3m, No. 225

(2)
Density functional theory data (meta-GGA SCAN) for a PBEsol-optimized structure of BeGa3Hg. Values from VASP.

```
&SYSTEM
  ibrav = 0, nat = 5, ntyp = 3
/
ATOMIC_SPECIES
Be 9.01 Be.upf
Ga 69.72 Ga.upf
Hg 200.59 Hg.upf
ATOMIC_POSITIONS angstrom
Be 0.000 0.000 0.000
Ga 0.000 2.526 2.526
Ga 2.526 0.000 2.526
Ga 2.526 2.526 0.000
Hg 2.526 2.526 2.526
CELL_PARAMETERS angstrom
5.052 0.000 0.000
0.000 5.052 0.000
0.000 0.000 5.052
```

Formation energy from the elements ... 1020 meV per atom
SG ... Pm-3m, No. 221